# 1
The following is a DFT calculation (PBE) of an optimized crystal structure of TbPm2Sm6.

Cell and atoms, written as POSCAR:
```
TbPm2Sm6
1.0
6.6406 -3.8346 0.0000
6.6406 3.8346 0.0000
-0.0005 0.0000 6.1114
Tb Pm Sm
1 2 6
Direct
0.0000 0.0000 0.0000
0.3336 0.3336 0.2148
0.6664 0.6664 0.7852
0.1875 0.6232 0.7112
0.1877 0.1877 0.7117
0.3768 0.8125 0.2888
0.6232 0.1875 0.7112
0.8123 0.8123 0.2883
0.8125 0.3768 0.2888
```

Summary:
- energy relative to the elements (meV/atom) = 215
- density of states at the Fermi level (states/eV/f.u.) = 13.406
- ΔE to the lowest computed polymorph (eV/atom) = 0.080
- total magnetization (μB/f.u.) = 0.001

***

# 2
The following is a DFT calculation (PBE) of an optimized crystal structure of La4TlOsBr2.

Cell and atoms, written as POSCAR:
```
La4TlOsBr2
1.0
7.9285 0.0000 0.0000
0.0000 4.2643 0.0000
-2.6726 0.0000 7.8011
La Tl Os Br
4 1 1 2
Direct
0.2089 0.0000 0.2905
0.2212 0.5000 0.7043
0.7788 0.5000 0.2957
0.7911 0.0000 0.7095
0.5000 0.5000 0.5000
0.0000 0.0000 0.5000
0.0000 0.5000 0.0000
0.5000 0.0000 0.0000
```

Summary:
- density of states at the Fermi level (states/eV/f.u.) = 6.045
- energy relative to the elements, uncorrected (eV per atom) = -0.842
- total magnetization (μB/f.u.) = 0.000

***

# 3
The following is a DFT calculation (PBE) of an optimized crystal structure of ZrMo2C.

Cell and atoms, written as POSCAR:
```
ZrMo2C
1.0
1.5673 -2.4373 0.0000
1.5673 2.4373 0.0000
0.0000 0.0000 7.8187
Zr Mo C
1 2 1
Direct
0.0000 0.0000 0.0000
0.5000 0.5000 0.3187
0.5000 0.5000 0.6813
0.0000 0.0000 0.5000
```

Summary:
- energy relative to the elements (meV/atom) = 307
- density of states at the Fermi level (states/eV/f.u.) = 2.858
- total magnetization (μB/f.u.) = 0.000

***

# 4
The following is a DFT calculation (PBE) of an optimized crystal structure of Li3EuCu.

Cell and atoms, written as POSCAR:
```
Li3EuCu
1.0
4.9050 0.0000 0.0000
0.0000 4.9050 0.0000
0.0000 0.0000 4.9050
Li Eu Cu
3 1 1
Direct
0.0000 0.0000 0.5000
0.0000 0.5000 0.0000
0.5000 0.0000 0.0000
0.5000 0.5000 0.5000
0.0000 0.0000 0.0000
```

Summary:
- energy relative to the elements (meV/atom) = 122
- density of states at the Fermi level (states/eV/f.u.) = 13.169
- total magnetization (μB/f.u.) = 7.720

***

# 5
The following is a DFT calculation (PBE) of an optimized crystal structure of SrTc2P.

Cell and atoms, written as POSCAR:
```
SrTc2P
1.0
-2.3917 2.3917 8.3043
2.3917 -2.3917 8.3043
2.3917 2.3917 -8.3043
Sr Tc P
2 4 2
Direct
0.3750 0.6250 0.7500
0.6250 0.3750 0.2500
0.0000 0.0000 0.0000
0.0000 0.0000 0.5000
0.0000 0.5000 0.0000
0.5000 0.0000 0.5000
0.1250 0.8750 0.2500
0.8750 0.1250 0.7500
```

Summary:
- energy relative to the elements (meV/atom) = 210
- density of states at the Fermi level (states/eV/f.u.) = 5.310
- ΔE to the lowest computed polymorph (eV/atom) = 0.481
- total magnetization (μB/f.u.) = 0.000

***

# 6
The following is a DFT calculation (PBE) of an optimized crystal structure of Ce8Ge3Ru2.

Cell and atoms, written as POSCAR:
```
Ce8Ge3Ru2
1.0
3.1655 1.8276 9.6454
-3.1655 1.8276 9.6454
0.0000 -3.6552 9.6454
Ce Ge Ru
8 3 2
Direct
0.1987 0.1987 0.1987
0.2437 0.2437 0.6824
0.2437 0.6824 0.2437
0.3176 0.7563 0.7563
0.6824 0.2437 0.2437
0.7563 0.3176 0.7563
0.7563 0.7563 0.3176
0.8013 0.8013 0.8013
0.2989 0.2989 0.2989
0.5000 0.5000 0.5000
0.7011 0.7011 0.7011
0.1166 0.1166 0.1166
0.8834 0.8834 0.8834
```

Summary:
- energy relative to the elements (meV/atom) = -221
- density of states at the Fermi level (states/eV/f.u.) = 29.563
- total magnetization (μB/f.u.) = 2.045

***

# 7
The following is a DFT calculation (PBE) of an optimized crystal structure of LaTb2Nd.

Cell and atoms, written as POSCAR:
```
LaTb2Nd
1.0
1.8238 1.0529 11.7684
-1.8238 1.0529 11.7684
0.0000 -2.1059 11.7684
La Tb Nd
1 2 1
Direct
0.0000 0.0000 0.0000
0.2494 0.2494 0.2494
0.7506 0.7506 0.7506
0.5000 0.5000 0.5000
```

Summary:
- energy relative to the elements (meV/atom) = 11
- density of states at the Fermi level (states/eV/f.u.) = 4.872
- ΔE to the lowest computed polymorph (eV/atom) = 0.000
- total magnetization (μB/f.u.) = 0.000

***

# 8
The following is a DFT calculation (PBE) of an optimized crystal structure of LaCo2.

Cell and atoms, written as POSCAR:
```
LaCo2
1.0
4.7966 -2.4873 0.0000
4.7966 2.4873 0.0000
0.0000 0.0000 4.3563
La Co
2 4
Direct
0.2341 0.7659 0.7500
0.7659 0.2341 0.2500
0.1434 0.3960 0.2500
0.3960 0.1434 0.7500
0.6040 0.8566 0.2500
0.8566 0.6040 0.7500
```

Summary:
- energy relative to the elements (meV/atom) = 43
- density of states at the Fermi level (states/eV/f.u.) = 4.394
- total magnetization (μB/f.u.) = 1.699

***

# 9
The following is a DFT calculation (PBE) of an optimized crystal structure of Ca2I2O7.

Cell and atoms, written as POSCAR:
```
Ca2I2O7
1.0
3.7765 -4.4795 0.0000
3.7765 4.4795 0.0000
-0.1575 0.0000 5.9883
Ca I O
2 2 7
Direct
0.2015 0.7985 0.0000
0.7985 0.2015 0.0000
0.2430 0.2430 0.3794
0.7570 0.7570 0.6206
0.0042 0.0042 0.2478
0.1291 0.4533 0.1966
0.4533 0.1291 0.1966
0.5000 0.5000 0.5000
0.5467 0.8709 0.8034
0.8709 0.5467 0.8034
0.9958 0.9958 0.7522
```

Summary:
- density of states at the Fermi level (states/eV/f.u.) = 0.000
- energy relative to the elements, uncorrected (eV per atom) = -1.402
- total magnetization (μB/f.u.) = 0.000

***

# 10
The following is a DFT calculation (PBE) of an optimized crystal structure of SrGa5Pt3.

Cell and atoms, written as POSCAR:
```
SrGa5Pt3
1.0
2.0532 -6.5377 0.0000
2.0532 6.5377 0.0000
0.0000 0.0000 13.1110
Sr Ga Pt
2 10 6
Direct
0.1605 0.8395 0.7500
0.8395 0.1605 0.2500
0.0000 0.0000 0.0000
0.0000 0.0000 0.5000
0.2026 0.7974 0.0677
0.2026 0.7974 0.4323
0.4454 0.5546 0.6522
0.4454 0.5546 0.8478
0.5546 0.4454 0.1522
0.5546 0.4454 0.3478
0.7974 0.2026 0.5677
0.7974 0.2026 0.9323
0.1271 0.8729 0.2500
0.3898 0.6102 0.0401
0.3898 0.6102 0.4599
0.6102 0.3898 0.5401
0.6102 0.3898 0.9599
0.8729 0.1271 0.7500
```

Summary:
- energy relative to the elements (meV/atom) = -674
- density of states at the Fermi level (states/eV/f.u.) = 2.551
- total magnetization (μB/f.u.) = 0.000

***

# 11
The following is a DFT calculation (PBE) of an optimized crystal structure of Mg2Cd7Pd2.

Cell and atoms, written as POSCAR:
```
Mg2Cd7Pd2
1.0
6.2523 -4.4610 0.0000
6.2523 4.4610 0.0000
-1.5163 0.0000 4.1051
Mg Cd Pd
2 7 2
Direct
0.1265 0.1265 0.1272
0.8735 0.8735 0.8728
0.0816 0.6164 0.3499
0.3256 0.3256 0.8266
0.3836 0.9184 0.6501
0.5000 0.5000 0.5000
0.6164 0.0816 0.3499
0.6744 0.6744 0.1734
0.9184 0.3836 0.6501
0.2698 0.7302 0.0000
0.7302 0.2698 0.0000
```

Summary:
- energy relative to the elements (meV/atom) = -213
- density of states at the Fermi level (states/eV/f.u.) = 3.429
- ΔE to the lowest computed polymorph (eV/atom) = 0.000
- total magnetization (μB/f.u.) = 0.000

***

# 12
The following is a DFT calculation (PBE) of an optimized crystal structure of Ba3Li2Cd9.

Cell and atoms, written as POSCAR:
```
Ba3Li2Cd9
1.0
-2.5673 5.1852 7.5065
2.5673 -5.1852 7.5065
2.5673 5.1852 -7.5065
Ba Li Cd
3 2 9
Direct
0.0000 0.0000 0.0000
0.2919 0.2919 0.0000
0.7081 0.7081 0.0000
0.3136 0.5000 0.8136
0.6864 0.5000 0.1864
0.0109 0.6600 0.3509
0.1603 0.8706 0.2897
0.3092 0.6600 0.6491
0.4190 0.1294 0.2897
0.5000 0.0000 0.5000
0.5810 0.8706 0.7103
0.6908 0.3400 0.3509
0.8397 0.1294 0.7103
0.9891 0.3400 0.6491
```

Summary:
- energy relative to the elements (meV/atom) = -286
- density of states at the Fermi level (states/eV/f.u.) = 10.519
- total magnetization (μB/f.u.) = 0.000